(1)
Computed, not measured: crystalline YHfCS at its relaxed geometry at the GGA-PBE level of DFT.

Structure (CIF):
```
data_YHfCS
_space_group_name_H-M_alt 'P 1'
_space_group_IT_number 1
_space_group_name_Hall 'P 1'
_cell_length_a 3.5107
_cell_length_b 3.5107
_cell_length_c 12.5799
_cell_angle_alpha 90.00
_cell_angle_beta 90.00
_cell_angle_gamma 120.00
loop_
_atom_site_label
_atom_site_type_symbol
_atom_site_fract_x
_atom_site_fract_y
_atom_site_fract_z
S1 S 0.3333 0.6667 0.2604
S2 S 0.6667 0.3333 0.7604
Y1 Y 0.6667 0.3333 0.1038
Y2 Y 0.3333 0.6667 0.6038
Hf1 Hf 0.6667 0.3333 0.3990
Hf2 Hf 0.3333 0.6667 0.8990
C1 C 0.0000 0.0000 0.4868
C2 C 0.0000 0.0000 0.9868
```

(2)
Computed, not measured: crystalline YTlCoTc at its relaxed geometry at the GGA-PBE level of DFT.

Structure (CIF):
```
data_YTlCoTc
_space_group_name_H-M_alt 'P 1'
_space_group_IT_number 1
_space_group_name_Hall 'P 1'
_cell_length_a 4.7237
_cell_length_b 4.7237
_cell_length_c 4.7237
_cell_angle_alpha 60.00
_cell_angle_beta 60.00
_cell_angle_gamma 60.00
loop_
_atom_site_label
_atom_site_type_symbol
_atom_site_fract_x
_atom_site_fract_y
_atom_site_fract_z
Tl1 Tl 0.0000 0.0000 0.0000
Co1 Co 0.7500 0.7500 0.7500
Tc1 Tc 0.5000 0.5000 0.5000
Y1 Y 0.2500 0.2500 0.2500
```

(3)
Computed, not measured: crystalline ReAgPO at its relaxed geometry at the GGA-PBE level of DFT.

Structure (CIF):
```
data_ReAgPO
_space_group_name_H-M_alt 'P 1'
_space_group_IT_number 1
_space_group_name_Hall 'P 1'
_cell_length_a 4.2113
_cell_length_b 4.2113
_cell_length_c 6.5518
_cell_angle_alpha 90.00
_cell_angle_beta 90.00
_cell_angle_gamma 90.00
loop_
_atom_site_label
_atom_site_type_symbol
_atom_site_fract_x
_atom_site_fract_y
_atom_site_fract_z
O1 O 0.5000 0.0000 0.0000
O2 O 0.0000 0.5000 0.0000
Ag1 Ag 0.5000 0.5000 0.9084
Ag2 Ag 0.0000 0.0000 0.0916
P1 P 0.5000 0.5000 0.3396
P2 P 0.0000 0.0000 0.6604
Re1 Re 0.5000 0.0000 0.5000
Re2 Re 0.0000 0.5000 0.5000
```

(4)
Computed, not measured: crystalline BaMgCoSb at its relaxed geometry at the GGA-PBE level of DFT.

Structure (CIF):
```
data_BaMgCoSb
_space_group_name_H-M_alt 'P 1'
_space_group_IT_number 1
_space_group_name_Hall 'P 1'
_cell_length_a 5.3133
_cell_length_b 5.3133
_cell_length_c 5.3133
_cell_angle_alpha 60.00
_cell_angle_beta 60.00
_cell_angle_gamma 60.00
loop_
_atom_site_label
_atom_site_type_symbol
_atom_site_fract_x
_atom_site_fract_y
_atom_site_fract_z
Sb1 Sb 0.5000 0.5000 0.5000
Mg1 Mg 0.7500 0.7500 0.7500
Co1 Co 0.0000 0.0000 0.0000
Ba1 Ba 0.2500 0.2500 0.2500
```

(5)
Computed, not measured: crystalline SmGdNi2As2 at its relaxed geometry at the GGA-PBE level of DFT.

Structure (CIF):
```
data_SmGdNi2As2
_space_group_name_H-M_alt 'P 1'
_space_group_IT_number 1
_space_group_name_Hall 'P 1'
_cell_length_a 4.0814
_cell_length_b 4.0814
_cell_length_c 7.8798
_cell_angle_alpha 90.00
_cell_angle_beta 90.00
_cell_angle_gamma 120.00
loop_
_atom_site_label
_atom_site_type_symbol
_atom_site_fract_x
_atom_site_fract_y
_atom_site_fract_z
As1 As 0.3333 0.6667 0.2470
As2 As 0.6667 0.3333 0.7530
Ni1 Ni 0.6667 0.3333 0.2479
Ni2 Ni 0.3333 0.6667 0.7521
Sm1 Sm 0.0000 0.0000 0.5000
Gd1 Gd 0.0000 0.0000 0.0000
```

(6)
Computed, not measured: crystalline ZrAl2W at its relaxed geometry at the GGA-PBE level of DFT.

Structure (CIF):
```
data_ZrAl2W
_space_group_name_H-M_alt 'P 1'
_space_group_IT_number 1
_space_group_name_Hall 'P 1'
_cell_length_a 4.5963
_cell_length_b 4.5963
_cell_length_c 4.5963
_cell_angle_alpha 60.00
_cell_angle_beta 60.00
_cell_angle_gamma 60.00
loop_
_atom_site_label
_atom_site_type_symbol
_atom_site_fract_x
_atom_site_fract_y
_atom_site_fract_z
Al1 Al 0.0000 0.0000 0.0000
Al2 Al 0.2500 0.2500 0.2500
Zr1 Zr 0.5000 0.5000 0.5000
W1 W 0.7500 0.7500 0.7500
```

no.,total energy (eV per atom)
1,-8.733
2,-6.099
3,-6.165
4,-3.491
5,-6.032
6,-7.200